Record 1
NdZnHg3 | PBE-GGA | optimized geometry

The value obtained for the formation energy is -211 meV per atom. As for the spin magnetization: 0.00 μB/atom. The density of states at the Fermi level comes out at 2.009 states/eV/f.u. The raw total energy is -32.0 eV/cell.

The space group is Cmcm (No. 63) and the conventional cell measures 6.947, 12.137 and 5.697 Å, with angles of 90.00, 90.00 and 90.00 degrees. The inequivalent atoms are Nd at (0.000, 0.165, 0.250), Zn at (0.000, 0.500, 0.000), Hg at (0.000, 0.311, 0.750) and Hg at (0.216, 0.096, 0.750).

=====

Record 2
KReN2F | PBE-GGA | optimized geometry

As for the spin magnetization: 0.60 μB/atom. The calculation puts the energy relative to the elements, uncorrected at 2538 meV per atom. The density of states at the Fermi level comes out at 1.201 states/eV/f.u. The raw total energy is -19.4 eV/cell. The value obtained for the energy above the most stable polymorph in this dataset is 3091 meV/atom.

The space group is P4/mmm (No. 123) and the conventional cell measures 4.377, 4.377 and 4.325 Å, with angles of 90.00, 90.00 and 90.00 degrees. The inequivalent atoms are K at (0.000, 0.000, 0.000), Re at (0.500, 0.500, 0.500), N at (0.000, 0.500, 0.000) and F at (0.000, 0.000, 0.500).

=====

Record 3
Tm2Cu4Ni3 | PBE-GGA | optimized geometry

The value obtained for the formation energy is -346 meV per atom. As for the spin magnetization: 0.00 μB/atom. The density of states at the Fermi level comes out at 4.521 states/eV/f.u. The raw total energy is -183.1 eV/cell.

The space group is Fmmm (No. 69) and the conventional cell measures 4.853, 8.564 and 12.514 Å, with angles of 90.00, 90.00 and 90.00 degrees. The inequivalent atoms are Tm at (0.000, 0.000, 0.130), Cu at (0.000, 0.167, 0.331), Ni at (0.000, 0.000, 0.500) and Ni at (0.250, 0.250, 0.000).

=====

Record 4
Re2POs | PBE-GGA | optimized geometry

The value obtained for the formation energy is 10 meV per atom. As for the spin magnetization: 0.00 μB/atom. The density of states at the Fermi level comes out at 2.459 states/eV/f.u. The raw total energy is -83.0 eV/cell.

The space group is Immm (No. 71) and the conventional cell measures 2.905, 4.367 and 8.800 Å, with angles of 90.00, 90.00 and 90.00 degrees. The inequivalent atoms are Re at (0.000, 0.000, 0.216), P at (0.000, 0.500, 0.500) and Os at (0.000, 0.500, 0.000).

=====

Record 5
CaTeMo4 | PBE-GGA | optimized geometry

As for the spin magnetization: 0.00 μB/atom. The calculation puts the energy relative to the elements, uncorrected at 480 meV per atom. The density of states at the Fermi level comes out at 5.265 states/eV/f.u. The raw total energy is -182.4 eV/cell.

The space group is F-43m (No. 216) and the conventional cell measures 7.703, 7.703 and 7.703 Å, with angles of 90.00, 90.00 and 90.00 degrees. The inequivalent atoms are Ca at (0.000, 0.000, 0.000), Te at (0.250, 0.250, 0.250) and Mo at (0.124, 0.124, 0.624).

=====

Record 6
La2Ho2Th3 | PBE-GGA | optimized geometry

The value obtained for the formation energy is 71 meV per atom. As for the spin magnetization: 0.00 μB/atom. The density of states at the Fermi level comes out at 12.448 states/eV/f.u. The raw total energy is -81.6 eV/cell.

The space group is Cmmm (No. 65) and the conventional cell measures 3.555, 37.009 and 3.568 Å, with angles of 90.00, 90.00 and 90.00 degrees. The inequivalent atoms are La at (0.000, 0.208, 0.000), Ho at (0.000, 0.365, 0.500), Th at (0.000, 0.068, 0.000) and Th at (0.000, 0.500, 0.500).

=====

Record 7
CuSi2Ru | PBE-GGA | optimized geometry

As for the spin magnetization: 0.00 μB/atom. The calculation puts the energy relative to the elements, uncorrected at 16 meV per atom. The density of states at the Fermi level comes out at 1.902 states/eV/f.u. The raw total energy is -48.3 eV/cell. The value obtained for the energy above the most stable polymorph in this dataset is 299 meV/atom.

The space group is C2/m (No. 12) and the conventional cell measures 5.343, 7.996 and 2.932 Å, with angles of 90.00, 117.69 and 90.00 degrees. The inequivalent atoms are Cu at (0.000, 0.000, 0.000), Si at (0.250, 0.250, 0.000) and Ru at (0.000, 0.500, 0.000).

=====

Record 8
In2SnCl | PBE-GGA | optimized geometry

As for the spin magnetization: 0.00 μB/atom. The calculation puts the energy relative to the elements, uncorrected at -236 meV per atom. The density of states at the Fermi level comes out at 1.406 states/eV/f.u. The raw total energy is -36.8 eV/cell. The value obtained for the energy above the most stable polymorph in this dataset is 53 meV/atom.

The space group is R3m (No. 160, hexagonal axes) and the conventional cell measures 3.5959, 3.5959 and 29.0129 Å, with angles of 90.00, 90.00 and 120.00 degrees. The inequivalent atoms are In at (0.0000, 0.0000, 0.0000), In at (0.0000, 0.0000, 0.1570), Sn at (0.0000, 0.0000, 0.5771) and Cl at (0.0000, 0.0000, 0.7502).

=====

Record 9
K2SrAlF8 | PBE-GGA | optimized geometry

As for the spin magnetization: 0.09 μB/atom. The calculation puts the energy relative to the elements, uncorrected at -2997 meV per atom. The density of states at the Fermi level comes out at 15.361 states/eV/f.u. The raw total energy is -58.6 eV/cell.

The space group is P-3m1 (No. 164) and the conventional cell measures 5.8494, 5.8494 and 6.5368 Å, with angles of 90.00, 90.00 and 120.00 degrees. The inequivalent atoms are K at (0.3333, 0.6667, 0.3888), Sr at (0.0000, 0.0000, 0.0000), Al at (0.0000, 0.0000, 0.5000), F at (0.1431, 0.2861, 0.6702) and F at (0.3333, 0.6667, 0.0066).

=====

Record 10
NpTiMnTc | PBE-GGA | optimized geometry

The value obtained for the formation energy is -7 meV per atom. As for the spin magnetization: 0.53 μB/atom. The density of states at the Fermi level comes out at 7.648 states/eV/f.u. The raw total energy is -161.6 eV/cell.

The space group is F-43m (No. 216) and the conventional cell measures 6.368, 6.368 and 6.368 Å, with angles of 90.00, 90.00 and 90.00 degrees. The inequivalent atoms are Np at (0.000, 0.000, 0.000), Ti at (0.000, 0.000, 0.500), Mn at (0.250, 0.250, 0.750) and Tc at (0.250, 0.250, 0.250).

=====

Record 11
Ho5Ni2Ag | PBE-GGA | optimized geometry

The value obtained for the formation energy is -322 meV per atom. As for the spin magnetization: 0.00 μB/atom. The density of states at the Fermi level comes out at 8.215 states/eV/f.u. The raw total energy is -159.5 eV/cell.

The space group is I4/mcm (No. 140) and the conventional cell measures 7.622, 7.622 and 12.990 Å, with angles of 90.00, 90.00 and 90.00 degrees. The inequivalent atoms are Ho at (0.000, 0.000, 0.000), Ho at (0.161, 0.339, 0.136), Ni at (0.128, 0.372, 0.500) and Ag at (0.000, 0.000, 0.250).

=====

Record 12
Fe2GePb | PBE-GGA | optimized geometry

The value obtained for the formation energy is 537 meV per atom. As for the spin magnetization: 1.14 μB/atom. The density of states at the Fermi level comes out at 4.292 states/eV/f.u. The raw total energy is -92.4 eV/cell. The value obtained for the energy above the most stable polymorph in this dataset is 0 meV/atom.

The space group is I-42d (No. 122) and the conventional cell measures 4.257, 4.257 and 16.958 Å, with angles of 90.00, 90.00 and 90.00 degrees. The inequivalent atoms are Fe at (0.137, 0.250, 0.125), Ge at (0.000, 0.000, 0.000) and Pb at (0.000, 0.000, 0.500).

=====

What is the formula in the first record?
NdZnHg3